# 1
A plane-wave DFT calculation with PBE was carried out for crystalline LaTh2Pa at its relaxed geometry.

Output
Fermi-level density of states = 7.4 states/eV/f.u.
calculated formation energy = 0.13 eV per atom
VASP energy = -7.191 eV per atom

Unit cell a=3.5122 b=3.5122 c=34.9584 alpha=90.00 beta=90.00 gamma=120.00
Space group R3m (No. 160, hexagonal axes)
Unique sites:
La (0.0000, 0.0000, 0.0000) x3
Th (0.0000, 0.0000, 0.2429) x3
Th (0.0000, 0.0000, 0.4186) x3
Pa (0.0000, 0.0000, 0.8304) x3

***

# 2
A plane-wave DFT calculation with PBE was carried out for crystalline Ca2LaSc at its relaxed geometry.

Output
Fermi-level density of states = 5.6 states/eV/f.u.
calculated formation energy = 0.20 eV per atom
VASP energy = -3.613 eV per atom

Unit cell a=8.2466 b=8.2466 c=8.2466 alpha=90.00 beta=90.00 gamma=90.00
Space group Fm-3m (No. 225)
Unique sites:
Ca (0.2500, 0.2500, 0.2500) x8
La (0.0000, 0.0000, 0.0000) x4
Sc (0.0000, 0.0000, 0.5000) x4

***

# 3
A plane-wave DFT calculation with PBE was carried out for crystalline LaNdSc at its relaxed geometry.

Output
Fermi-level density of states = 5.2 states/eV/f.u.
calculated formation energy = 0.06 eV per atom
VASP energy = -5.287 eV per atom

Unit cell a=3.5672 b=3.5672 c=51.9896 alpha=90.00 beta=90.00 gamma=120.00
Space group R-3m (No. 166, hexagonal axes)
Unique sites:
La (0.0000, 0.0000, 0.1373) x6
Nd (0.0000, 0.0000, 0.4099) x6
Sc (0.0000, 0.0000, 0.3096) x6

***

# 4
A plane-wave DFT calculation with PBE was carried out for crystalline ErMg2Cd9 at its relaxed geometry.

Output
Fermi-level density of states = 3.5 states/eV/f.u.
calculated formation energy = -0.06 eV per atom
VASP energy = -1.394 eV per atom

Unit cell a=11.8721 b=11.8721 c=7.7190 alpha=90.00 beta=90.00 gamma=90.00
Space group I4_1/amd (No. 141, origin choice 2)
Unique sites:
Er (0.0000, 0.2500, 0.3750) x4
Mg (0.0000, 0.0000, 0.0000) x8
Cd (0.0000, 0.2500, 0.8750) x4
Cd (0.1204, 0.0491, 0.6709) x32

***

# 5
A plane-wave DFT calculation with PBE was carried out for crystalline UMnNbTc at its relaxed geometry.

Output
Fermi-level density of states = 6.5 states/eV/f.u.
calculated formation energy = 0.08 eV per atom
VASP energy = -10.145 eV per atom

Unit cell a=6.4476 b=6.4476 c=6.4476 alpha=90.00 beta=90.00 gamma=90.00
Space group F-43m (No. 216)
Unique sites:
U (0.0000, 0.0000, 0.0000) x4
Mn (0.2500, 0.2500, 0.7500) x4
Nb (0.0000, 0.0000, 0.5000) x4
Tc (0.2500, 0.2500, 0.2500) x4

***

# 6
A plane-wave DFT calculation with PBE was carried out for crystalline Ta2VCo9 at its relaxed geometry.

Output
Fermi-level density of states = 12.4 states/eV/f.u.
calculated formation energy = -0.21 eV per atom
VASP energy = -8.271 eV per atom

Unit cell a=3.6008 b=3.6008 c=10.7739 alpha=90.00 beta=90.00 gamma=90.00
Space group P4/mmm (No. 123)
Unique sites:
Ta (0.0000, 0.0000, 0.1701) x2
V (0.0000, 0.0000, 0.5000) x1
Co (0.0000, 0.5000, 0.0000) x2
Co (0.0000, 0.5000, 0.3427) x4
Co (0.5000, 0.5000, 0.1703) x2
Co (0.5000, 0.5000, 0.5000) x1

***

# 7
A plane-wave DFT calculation with PBE was carried out for crystalline AcCeFe at its relaxed geometry.

Output
Fermi-level density of states = 3.8 states/eV/f.u.
calculated formation energy = 0.03 eV per atom
VASP energy = -6.140 eV per atom

Unit cell a=4.1099 b=6.1070 c=7.4234 alpha=97.70 beta=97.86 gamma=105.01
Space group P-1 (No. 2)
Unique sites:
Ac (0.1708, 0.2356, 0.3527) x2
Ce (0.4156, 0.7256, 0.1109) x2
Fe (0.2183, 0.4160, 0.7618) x2

***

# 8
A plane-wave DFT calculation with PBE was carried out for crystalline Al2NiOs at its relaxed geometry.

Output
Fermi-level density of states = 3.1 states/eV/f.u.
calculated formation energy = 0.06 eV per atom
VASP energy = -6.065 eV per atom

Unit cell a=2.9253 b=4.5715 c=8.3658 alpha=90.00 beta=90.00 gamma=90.00
Space group Cmm2 (No. 35)
Unique sites:
Al (0.0000, 0.0000, 0.0000) x2
Al (0.0000, 0.5000, 0.2762) x2
Ni (0.0000, 0.5000, 0.7767) x2
Os (0.0000, 0.0000, 0.5224) x2

***

- Which formula does entry 2 have?
  Ca2LaSc